First-principles (PBE-GGA) data for a relaxed structure of CuRh2Au, as listed in Alexandria via LeMat-Bulk.

Unit cell a=2.8009 b=3.7712 c=5.6225 alpha=90.00 beta=90.11 gamma=90.00
Space group Pm (No. 6)
Unique sites:
Cu (0.0000, 0.0000, 0.0000) [1 per cell]
Rh (0.0003, 0.0000, 0.5335) [1 per cell]
Rh (0.5009, 0.5000, 0.7446) [1 per cell]
Au (0.5004, 0.5000, 0.2412) [1 per cell]

## Properties
DOS at the Fermi energy in states/eV/f.u.: 5.55
Relative energy among the computed polymorphs in kJ/mol of atoms: 2.9
Volume in Å³ per cell: 59
E_form in meV per atom: 92
E_tot in eV per formula unit: -21.71

First-principles (PBE-GGA) data for a relaxed structure of LaHoSi, as listed in Alexandria via LeMat-Bulk.

Unit cell a=4.5025 b=4.5025 c=8.1450 alpha=90.00 beta=90.00 gamma=90.00
Space group P4/nmm (No. 129, origin choice 2)
Unique sites:
La (0.2500, 0.2500, 0.1400) [2 per cell]
Ho (0.2500, 0.7500, 0.5000) [2 per cell]
Si (0.2500, 0.2500, 0.7474) [2 per cell]

## Properties
Uncorrected formation energy in meV/atom: -509.7
DOS at the Fermi energy in states/eV/f.u.: 3.30
Relative energy among the computed polymorphs in kJ/mol of atoms: 0.0
Volume in Å³ per cell: 165
E_tot in eV per formula unit: -16.46